! ScBeRu (PBE, relaxed); values from VASP
! E_form = -333 meV/atom
! DOS(E_F) = 1.1 states/eV per cell
! Energy relative to the lowest polymorph listed for this composition = 81 meV/atom
! Total moment = 0.0 μB/cell
! SG = P-6m2
&SYSTEM
  ibrav = 0, nat = 3, ntyp = 3
/
ATOMIC_SPECIES
Sc 44.96 Sc.upf
Be 9.01 Be.upf
Ru 101.07 Ru.upf
ATOMIC_POSITIONS angstrom
Sc 0.000 0.000 0.000
Be 0.000 2.285 1.655
Ru 1.979 1.142 1.655
CELL_PARAMETERS angstrom
3.957 0.000 0.000
-1.979 3.427 0.000
0.000 0.000 3.309